This record from the Alexandria database describes Cu2HgTe after structural relaxation. The functional is GGA-PBE.

Output
N(E_F) ... 0.271 states/eV per atom
Polymorph energy (0 for the lowest one) ... 14 meV/atom
Formation energy from raw total energies ... 124 meV/atom
V ... 152.4 Å³/cell

abc: 3.9763 3.8434 9.9744
angles: 90.00 90.00 90.00
Closest atoms and distances in Å follow each position.
Fractional coordinates of all 8 atoms:
Cu: 0.0000 0.0000 0.0000  2 Cu 2.57, 1 Hg 2.78, 4 Te 2.83
Cu: 0.0000 0.5000 0.5000  2 Cu 2.57, 1 Hg 2.78, 4 Te 2.83
Cu: 0.5000 0.0000 0.1634  2 Cu 2.57, 1 Te 2.77, 4 Hg 2.83
Cu: 0.5000 0.5000 0.6634  2 Cu 2.57, 1 Te 2.77, 4 Hg 2.83
Hg: 0.0000 0.0000 0.7217  7 Cu 2.78-2.93
Hg: 0.0000 0.5000 0.2217  7 Cu 2.78-2.93
Te: 0.5000 0.0000 0.4415  7 Cu 2.77-2.93
Te: 0.5000 0.5000 0.9415  7 Cu 2.77-2.93


This record from the Alexandria database describes CdAs2P after structural relaxation. The functional is GGA-PBE.

Output
N(E_F) ... 0.489 states/eV per atom
Polymorph energy (0 for the lowest one) ... 56 meV/atom
Energy of formation ... 0.1673 eV/atom
V ... 244.1 Å³/cell

abc: 3.7278 3.7278 20.2812
angles: 90.00 90.00 120.00
Closest atoms and distances in Å follow each position.
Fractional coordinates of all 12 atoms:
Cd: 0.0000 0.0000 0.0000  3 P 2.77, 3 As 2.92
Cd: 0.3333 0.6667 0.6667  3 P 2.77, 3 As 2.92
Cd: 0.6667 0.3333 0.3333  3 P 2.77, 3 As 2.92
As: 0.0000 0.0000 0.2363  3 As 2.67, 3 Cd 2.92
As: 0.0000 0.0000 0.4917  3 P 2.60, 3 As 2.67
As: 0.3333 0.6667 0.1584  3 P 2.60, 3 As 2.67
As: 0.3333 0.6667 0.9030  3 As 2.67, 3 Cd 2.92
As: 0.6667 0.3333 0.5697  3 As 2.67, 3 Cd 2.92
As: 0.6667 0.3333 0.8250  3 P 2.60, 3 As 2.67
P: 0.0000 0.0000 0.7528  3 As 2.60, 3 Cd 2.77
P: 0.3333 0.6667 0.4195  3 As 2.60, 3 Cd 2.77
P: 0.6667 0.3333 0.0861  3 As 2.60, 3 Cd 2.77


This record from the Alexandria database describes PuCdGaBi after structural relaxation. The functional is GGA-PBE.

Output
N(E_F) ... 2.918 states/eV per atom
Energy of formation ... -0.0650 eV/atom
V ... 408.1 Å³/cell

abc: 7.4175 7.4175 7.4175
angles: 90.00 90.00 90.00
Closest atoms and distances in Å follow each position.
Fractional coordinates of all 16 atoms:
Pu: 0.0000 0.0000 0.0000  4 Ga 3.21, 4 Bi 3.21
Pu: 0.0000 0.5000 0.5000  4 Ga 3.21, 4 Bi 3.21
Pu: 0.5000 0.0000 0.5000  4 Ga 3.21, 4 Bi 3.21
Pu: 0.5000 0.5000 0.0000  4 Ga 3.21, 4 Bi 3.21
Cd: 0.0000 0.0000 0.5000  4 Bi 3.21, 4 Ga 3.21
Cd: 0.0000 0.5000 0.0000  4 Bi 3.21, 4 Ga 3.21
Cd: 0.5000 0.0000 0.0000  4 Bi 3.21, 4 Ga 3.21
Cd: 0.5000 0.5000 0.5000  4 Bi 3.21, 4 Ga 3.21
Ga: 0.2500 0.2500 0.7500  4 Cd 3.21, 4 Pu 3.21
Ga: 0.2500 0.7500 0.2500  4 Cd 3.21, 4 Pu 3.21
Ga: 0.7500 0.2500 0.2500  4 Cd 3.21, 4 Pu 3.21
Ga: 0.7500 0.7500 0.7500  4 Cd 3.21, 4 Pu 3.21
Bi: 0.2500 0.2500 0.2500  4 Cd 3.21, 4 Pu 3.21
Bi: 0.2500 0.7500 0.7500  4 Cd 3.21, 4 Pu 3.21
Bi: 0.7500 0.2500 0.7500  4 Cd 3.21, 4 Pu 3.21
Bi: 0.7500 0.7500 0.2500  4 Cd 3.21, 4 Pu 3.21


This record from the Alexandria database describes Y2ScGa2Rh5 after structural relaxation. The functional is GGA-PBE.

Output
N(E_F) ... 0.612 states/eV per atom
Energy of formation ... -0.8424 eV/atom
V ... 350.5 Å³/cell

abc: 10.0010 10.0010 3.5044
angles: 90.00 90.00 90.00
Closest atoms and distances in Å follow each position.
Fractional coordinates of all 20 atoms:
Y: 0.1731 0.3269 0.0000  3 Ga 2.86-3.02, 6 Rh 3.01-3.14
Y: 0.3269 0.8269 0.0000  3 Ga 2.86-3.02, 6 Rh 3.01-3.14
Y: 0.6731 0.1731 0.0000  3 Ga 2.86-3.02, 6 Rh 3.01-3.14
Y: 0.8269 0.6731 0.0000  3 Ga 2.86-3.02, 6 Rh 3.01-3.14
Sc: 0.0000 0.0000 0.0000  8 Rh 2.79
Sc: 0.5000 0.5000 0.0000  8 Rh 2.79
Ga: 0.1246 0.6246 0.0000  6 Rh 2.48-2.50
Ga: 0.3754 0.1246 0.0000  6 Rh 2.48-2.50
Ga: 0.6246 0.8754 0.0000  6 Rh 2.48-2.50
Ga: 0.8754 0.3754 0.0000  6 Rh 2.48-2.50
Rh: 0.0000 0.5000 0.5000  4 Ga 2.48
Rh: 0.0682 0.7935 0.5000  2 Ga 2.50, 2 Sc 2.79
Rh: 0.2065 0.0682 0.5000  2 Ga 2.50, 2 Sc 2.79
Rh: 0.2935 0.5682 0.5000  2 Ga 2.50, 2 Sc 2.79
Rh: 0.4318 0.2935 0.5000  2 Ga 2.50, 2 Sc 2.79
Rh: 0.5000 0.0000 0.5000  4 Ga 2.48
Rh: 0.5682 0.7065 0.5000  2 Ga 2.50, 2 Sc 2.79
Rh: 0.7065 0.4318 0.5000  2 Ga 2.50, 2 Sc 2.79
Rh: 0.7935 0.9318 0.5000  2 Ga 2.50, 2 Sc 2.79
Rh: 0.9318 0.2065 0.5000  2 Ga 2.50, 2 Sc 2.79


This record from the Alexandria database describes Ca2WBr after structural relaxation. The functional is GGA-PBE.

Output
N(E_F) ... 0.509 states/eV per atom
Polymorph energy (0 for the lowest one) ... 0 meV/atom
Formation energy from raw total energies ... 24 meV/atom
V ... 192.7 Å³/cell

abc: 4.3518 4.9775 8.8972
angles: 90.00 90.00 90.00
Closest atoms and distances in Å follow each position.
Fractional coordinates of all 8 atoms:
Ca: 0.0000 0.0000 0.2441  4 W 3.07-3.30, 4 Br 3.15-3.37, 4 Ca 3.31
Ca: 0.0000 0.0000 0.7559  4 W 3.07-3.30, 4 Br 3.15-3.37, 4 Ca 3.31
Ca: 0.5000 0.5000 0.2441  4 W 3.07-3.30, 4 Br 3.15-3.37, 4 Ca 3.31
Ca: 0.5000 0.5000 0.7559  4 W 3.07-3.30, 4 Br 3.15-3.37, 4 Ca 3.31
W: 0.0000 0.5000 0.0000  8 Ca 3.07-3.30, 4 W 3.31
W: 0.5000 0.0000 0.0000  8 Ca 3.07-3.30, 4 W 3.31
Br: 0.0000 0.5000 0.5000  8 Ca 3.15-3.37, 4 Br 3.31
Br: 0.5000 0.0000 0.5000  8 Ca 3.15-3.37, 4 Br 3.31


This record from the Alexandria database describes Np2SiS4 after structural relaxation. The functional is GGA-PBE.

Output
N(E_F) ... 2.497 states/eV per atom
Formation energy from raw total energies ... -589 meV/atom
V ... 366.0 Å³/cell

abc: 5.3863 5.3863 12.6145
angles: 90.00 90.00 90.00
Closest atoms and distances in Å follow each position.
Fractional coordinates of all 14 atoms:
Np: 0.0000 0.5000 0.2500  4 S 2.72
Np: 0.0000 0.5000 0.7500  4 S 2.72
Np: 0.5000 0.0000 0.2500  4 S 2.72
Np: 0.5000 0.0000 0.7500  4 S 2.72
Si: 0.0000 0.0000 0.0000  4 S 2.17
Si: 0.5000 0.5000 0.5000  4 S 2.17
S: 0.2353 0.2353 0.0967  1 Si 2.17
S: 0.2353 0.7647 0.9033  1 Si 2.17
S: 0.2647 0.2647 0.5967  1 Si 2.17
S: 0.2647 0.7353 0.4033  1 Si 2.17
S: 0.7353 0.2647 0.4033  1 Si 2.17
S: 0.7353 0.7353 0.5967  1 Si 2.17
S: 0.7647 0.2353 0.9033  1 Si 2.17
S: 0.7647 0.7647 0.0967  1 Si 2.17


Question: The lowest V belongs to which entry?
Answer: Cu2HgTe


Repeat the third record exactly.
This record from the Alexandria database describes PuCdGaBi after structural relaxation. The functional is GGA-PBE.

Output
N(E_F) ... 2.918 states/eV per atom
Energy of formation ... -0.0650 eV/atom
V ... 408.1 Å³/cell

abc: 7.4175 7.4175 7.4175
angles: 90.00 90.00 90.00
Closest atoms and distances in Å follow each position.
Fractional coordinates of all 16 atoms:
Pu: 0.0000 0.0000 0.0000  4 Ga 3.21, 4 Bi 3.21
Pu: 0.0000 0.5000 0.5000  4 Ga 3.21, 4 Bi 3.21
Pu: 0.5000 0.0000 0.5000  4 Ga 3.21, 4 Bi 3.21
Pu: 0.5000 0.5000 0.0000  4 Ga 3.21, 4 Bi 3.21
Cd: 0.0000 0.0000 0.5000  4 Bi 3.21, 4 Ga 3.21
Cd: 0.0000 0.5000 0.0000  4 Bi 3.21, 4 Ga 3.21
Cd: 0.5000 0.0000 0.0000  4 Bi 3.21, 4 Ga 3.21
Cd: 0.5000 0.5000 0.5000  4 Bi 3.21, 4 Ga 3.21
Ga: 0.2500 0.2500 0.7500  4 Cd 3.21, 4 Pu 3.21
Ga: 0.2500 0.7500 0.2500  4 Cd 3.21, 4 Pu 3.21
Ga: 0.7500 0.2500 0.2500  4 Cd 3.21, 4 Pu 3.21
Ga: 0.7500 0.7500 0.7500  4 Cd 3.21, 4 Pu 3.21
Bi: 0.2500 0.2500 0.2500  4 Cd 3.21, 4 Pu 3.21
Bi: 0.2500 0.7500 0.7500  4 Cd 3.21, 4 Pu 3.21
Bi: 0.7500 0.2500 0.7500  4 Cd 3.21, 4 Pu 3.21
Bi: 0.7500 0.7500 0.2500  4 Cd 3.21, 4 Pu 3.21


Question: What is the V in the third record?
Answer: 408.1 Å³/cell


Question: N(E_F) of number 4 (Y2ScGa2Rh5)?
Answer: 0.612 states/eV per atom